--- A ---
# BaCuRh2

BaCuRh2 after structural relaxation (GGA-PBEsol, Alexandria).

The mass density comes out at 9.4 Mg/m³.

Unit cell a=3.066 b=4.990 c=9.359 alpha=90.00 beta=90.00 gamma=90.00
Element x y z (fractional)
Ba (0.000, 0.000, 0.000)
Ba (0.500, 0.500, 0.500)
Cu (0.000, 0.000, 0.500)
Cu (0.500, 0.500, 0.000)
Rh (0.000, 0.500, 0.223)
Rh (0.000, 0.500, 0.777)
Rh (0.500, 0.000, 0.277)
Rh (0.500, 0.000, 0.723)

--- B ---
# BaCuRh2

BaCuRh2 after structural relaxation (GGA-PBEsol, Alexandria).

The mass density comes out at 7.7 Mg/m³.

Unit cell a=4.324 b=4.324 c=16.281 alpha=90.00 beta=90.00 gamma=120.00
Element x y z (fractional)
Ba (0.000, 0.000, 0.000)
Ba (0.333, 0.667, 0.667)
Ba (0.667, 0.333, 0.333)
Cu (0.000, 0.000, 0.186)
Cu (0.333, 0.667, 0.853)
Cu (0.667, 0.333, 0.519)
Rh (0.000, 0.000, 0.492)
Rh (0.000, 0.000, 0.814)
Rh (0.333, 0.667, 0.159)
Rh (0.333, 0.667, 0.481)
Rh (0.667, 0.333, 0.147)
Rh (0.667, 0.333, 0.825)

Taking the most stable structure as the zero point, the relative energies in kJ/mol of atoms are A 45.9; B 0.0.